The following is a PBE calculation of a relaxed ZrH6Cl12 crystal, from the Alexandria database.

Results
- E: -3.3501 eV per atom
- Magnetic moment: 2.2 μB/f.u.
- Space-group type: R-3

abc: 9.0272 9.0272 9.0272
angles: 111.14 111.14 111.14
Sites, in units of the cell vectors:
Zr: 0.0000 0.0000 0.0000
H: 0.0492 0.1973 0.7069
H: 0.1973 0.7069 0.0492
H: 0.2931 0.9508 0.8027
H: 0.7069 0.0492 0.1973
H: 0.8027 0.2931 0.9508
H: 0.9508 0.8027 0.2931
Cl: 0.0372 0.3102 0.1734
Cl: 0.1734 0.0372 0.3102
Cl: 0.1827 0.3303 0.7162
Cl: 0.2838 0.8173 0.6697
Cl: 0.3102 0.1734 0.0372
Cl: 0.3303 0.7162 0.1827
Cl: 0.6697 0.2838 0.8173
Cl: 0.6898 0.8266 0.9628
Cl: 0.7162 0.1827 0.3303
Cl: 0.8173 0.6697 0.2838
Cl: 0.8266 0.9628 0.6898
Cl: 0.9628 0.6898 0.8266